1.
An optimized crystal structure of TcSO. Source: Alexandria, functional PBE-GGA.

Cell: 13.0832 2.9860 5.2698 Å, 90.00 106.70 90.00°
Closest atoms and distances in Å follow each position.
Space group C2/m (No. 12)
Unique sites:
Tc (0.2469, 0.0000, 0.2761)  3 O 2.08-2.09, 1 S 2.32
S (0.1160, 0.5000, 0.3295)  3 Tc 2.32-2.35
O (0.1731, 0.0000, 0.8693)  3 Tc 2.08-2.09

Magnetization = 0.000 μB/atom
ΔE to the lowest computed polymorph = 0 meV per atom
Formation energy without anion corrections = -2.7 eV/f.u.


2.
An optimized crystal structure of RbCeBr4. Source: Alexandria, functional PBE-GGA.

Cell: 10.8424 14.5462 7.6839 Å, 90.00 134.85 90.00°
Closest atoms and distances in Å follow each position.
Space group C2/c (No. 15)
Unique sites:
Rb (0.0000, 0.1246, 0.2500)  8 Br 3.41-3.42
Ce (0.0000, 0.3751, 0.7500)  8 Br 3.12-3.15
Br (0.2186, 0.5000, 0.2202)  2 Ce 3.12-3.15, 1 Br 3.36, 2 Rb 3.41-3.42
Br (0.2487, 0.2493, 0.7800)  2 Ce 3.13-3.14, 1 Br 3.36, 2 Rb 3.41-3.42

Magnetization = 0.167 μB/atom
ΔE to the lowest computed polymorph = 0 meV per atom
Formation energy without anion corrections = -10.7 eV/f.u.


3.
An optimized crystal structure of Tb3TmSc3. Source: Alexandria, functional PBE-GGA.

Cell: 9.2119 9.2119 5.4509 Å, 90.00 90.00 120.00°
Closest atoms and distances in Å follow each position.
Space group P6_3/m (No. 176)
Unique sites:
Tb (0.0480, 0.2462, 0.2500)  5 Sc 3.37-3.53, 1 Tm 3.42, 6 Tb 3.43-3.61
Tm (0.3333, 0.6667, 0.2500)  9 Sc 3.37-3.48, 3 Tb 3.42
Sc (0.0960, 0.4818, 0.7500)  4 Sc 3.36-3.45, 5 Tb 3.37-3.53, 3 Tm 3.37-3.48

Magnetization = 0.011 μB/atom
ΔE to the lowest computed polymorph = 0 meV per atom
E_form = 0.029 eV per atom


4.
An optimized crystal structure of TbDyY3Th. Source: Alexandria, functional PBE-GGA.

Cell: 10.6909 3.5785 10.6930 Å, 90.00 109.34 90.00°
Closest atoms and distances in Å follow each position.
Space group P2_1/m (No. 11)
Unique sites:
Tb (0.2060, 0.2500, 0.3789)  3 Th 3.51-3.52, 7 Y 3.56-3.62, 2 Tb 3.58
Dy (0.3739, 0.2500, 0.8731)  6 Y 3.54-3.57, 2 Th 3.57, 4 Dy 3.58-3.60
Y (0.0423, 0.2500, 0.8714)  2 Th 3.53, 1 Dy 3.54, 2 Tb 3.56, 7 Y 3.58-3.64
Y (0.2917, 0.7500, 0.1244)  3 Dy 3.57, 7 Y 3.58-3.59, 2 Tb 3.62
Y (0.4569, 0.7500, 0.6261)  2 Dy 3.54, 1 Th 3.56, 3 Tb 3.56-3.62, 6 Y 3.58-3.60
Th (0.1235, 0.7500, 0.6241)  3 Tb 3.51-3.52, 3 Y 3.53-3.56, 4 Th 3.55-3.58, 2 Dy 3.57

Magnetization = 0.000 μB/atom
E_form = 0.024 eV per atom


Electronic total energy for every record listed, in sequence, given in eV/atom: -7.398 -4.043 -5.308 -5.983.